A | Density functional theory data (PBE-GGA) for an optimized crystal structure of Tl3ReCl.

```
Tl3ReCl
1.0
-3.298 2.227 -3.591
-3.191 -4.298 0.265
-2.769 2.301 3.971
Re Tl Cl
1 3 1
direct
0.000 0.000 0.000
0.000 0.500 0.000
0.000 0.000 0.500
0.500 0.000 0.000
0.500 0.500 0.500
```

Summary:
density = 9.00 g cm⁻³
SG = Pm-3m



B | Density functional theory data (PBE-GGA) for an optimized crystal structure of Tl3ReCl.

```
Tl3ReCl
1.0
-5.036 1.278 2.366
-2.688 -2.500 -4.372
0.057 -4.971 2.807
Re Tl Cl
1 3 1
direct
0.500 0.500 0.500
0.000 0.500 0.000
0.000 0.000 0.500
0.500 0.000 0.000
0.000 0.000 0.000
```

Summary:
density = 7.45 g cm⁻³
SG = Pm-3m



Q: Which of them is the least stable? A: B.